A:
Pr2Sm3In PBE optimized geometry; density of states at the Fermi level = 10.27 states/eV per cell
1.0
-3.0022 -1.1837 1.2284
5.0513 -1.8316 10.5805
-2.2935 6.1971 -4.4869
Pr In Sm
2 1 3
direct
0.1732 0.9141 0.3464 Pr
0.8268 0.5677 0.6536 Pr
0.5000 0.2578 0.0000 In
0.0000 0.0251 0.0000 Sm
0.3379 0.3270 0.6758 Sm
0.6621 0.6512 0.3242 Sm



B:
Pr2Sm3In PBE optimized geometry; density of states at the Fermi level = 7.69 states/eV per cell
1.0
4.9973 0.0000 0.0000
0.0000 4.7032 -1.5902
0.0000 0.1411 8.1673
Sm Pr In
3 2 1
direct
0.5000 0.1621 0.3243 Sm
0.5000 0.8379 0.6757 Sm
0.5000 0.5000 0.0000 Sm
0.0000 0.6621 0.3242 Pr
0.0000 0.3379 0.6758 Pr
0.0000 0.0000 0.0000 In



It is B that is most stable; the runner-up trails by 35.9 kJ/mol of atoms.



A:
Pr4SmIn2 PBE optimized geometry; density of states at the Fermi level = 10.26 states/eV per cell
1.0
6.0444 0.0000 0.0000
0.0000 6.0444 0.0000
-3.0222 -3.0222 6.4673
Sm In Pr
1 2 4
direct
0.0000 0.0000 0.0000 Sm
0.3770 0.3770 0.7540 In
0.6230 0.6230 0.2460 In
0.2500 0.7500 0.5000 Pr
0.5000 0.0000 0.0000 Pr
0.0000 0.5000 0.0000 Pr
0.7500 0.2500 0.5000 Pr



B:
Pr4SmIn2 PBE optimized geometry; density of states at the Fermi level = 16.56 states/eV per cell
1.0
11.5103 -0.3525 -2.0565
-0.0150 6.4639 -1.2532
-1.3676 1.1829 6.1627
Sm In Pr
2 4 8
direct
0.0000 0.0000 0.0000 Sm
0.5000 0.5000 0.0000 Sm
0.9116 0.5446 0.7730 In
0.4113 0.9588 0.7735 In
0.5887 0.0412 0.2265 In
0.0884 0.4554 0.2270 In
0.6887 0.1980 0.7961 Pr
0.1264 0.7978 0.6030 Pr
0.1872 0.3048 0.7941 Pr
0.3113 0.8020 0.2039 Pr
0.6256 0.7041 0.6051 Pr
0.8128 0.6952 0.2059 Pr
0.8736 0.2022 0.3970 Pr
0.3744 0.2959 0.3949 Pr



It is B that is most stable; the runner-up trails by 25.1 kJ/mol of atoms.



A:
PrSm6In2 PBE optimized geometry; density of states at the Fermi level = 12.26 states/eV per cell
1.0
-3.9165 -1.8550 -2.3138
-0.8426 -5.8190 6.0954
-4.7840 1.6284 6.7962
Sm In Pr
6 2 1
direct
0.2656 0.3938 0.8030 Sm
0.2636 0.8026 0.8026 Sm
0.7344 0.1970 0.6062 Sm
0.2656 0.8030 0.3938 Sm
0.7364 0.1974 0.1974 Sm
0.7344 0.6062 0.1970 Sm
0.7655 0.6661 0.6661 In
0.2345 0.3339 0.3339 In
0.0000 0.0000 0.0000 Pr



B:
PrSm6In2 PBE optimized geometry; density of states at the Fermi level = 11.53 states/eV per cell
1.0
-1.1731 3.1270 1.9365
1.8355 -0.9343 6.4689
10.4996 5.6144 1.1427
Sm Pr In
6 1 2
direct
0.0114 0.3167 0.6604 Sm
0.3121 0.5013 0.8746 Sm
0.9886 0.6833 0.3396 Sm
0.3100 0.7970 0.5829 Sm
0.6900 0.2030 0.4171 Sm
0.6879 0.4987 0.1254 Sm
0.0000 0.0000 0.0000 Pr
0.3552 0.0758 0.2138 In
0.6448 0.9242 0.7862 In



It is B that is most stable; the runner-up trails by 25.5 kJ/mol of atoms.



A:
Pr3SmIn4 PBE optimized geometry; density of states at the Fermi level = 4.96 states/eV per cell
1.0
-3.7475 -1.0230 0.0875
0.9836 -3.6719 -0.8049
1.1787 -3.0174 15.2066
In Pr Sm
4 3 1
direct
0.0000 0.0000 0.1196 In
0.0000 0.0000 0.6265 In
0.0000 0.0000 0.3735 In
0.0000 0.0000 0.8804 In
0.5000 0.5000 0.7530 Pr
0.5000 0.5000 0.2470 Pr
0.5000 0.5000 0.5000 Pr
0.5000 0.5000 0.0000 Sm



B:
Pr3SmIn4 PBE optimized geometry; density of states at the Fermi level = 7.81 states/eV per cell
1.0
3.6817 0.0000 0.0000
0.0000 7.2521 -0.8530
-1.8408 -2.5161 9.8626
Pr In Sm
3 4 1
direct
0.2162 0.2163 0.4324 Pr
0.7838 0.7837 0.5676 Pr
0.0000 0.5000 0.0000 Pr
0.3738 0.1657 0.7477 In
0.6261 0.4180 0.2523 In
0.3739 0.5820 0.7477 In
0.6262 0.8343 0.2523 In
0.5000 0.0000 0.0000 Sm



It is A that is most stable; the runner-up trails by 17.2 kJ/mol of atoms.



A:
Pr2Sm4In PBE optimized geometry; density of states at the Fermi level = 10.68 states/eV per cell
1.0
-3.1807 1.2599 1.3742
-1.4836 -1.5953 2.9743
8.5637 12.5313 13.2782
Pr Sm In
2 4 1
direct
0.8076 0.8076 0.5771 Pr
0.1924 0.1924 0.4229 Pr
0.2913 0.2913 0.1261 Sm
0.7087 0.7087 0.8739 Sm
0.9089 0.9089 0.2733 Sm
0.0911 0.0911 0.7267 Sm
0.0000 0.0000 0.0000 In



B:
Pr2Sm4In PBE optimized geometry; density of states at the Fermi level = 19.36 states/eV per cell
1.0
10.9638 0.0000 0.0000
0.0000 6.4908 -1.2849
0.0000 1.2420 6.2788
In Pr Sm
2 4 8
direct
0.5000 0.5000 0.0000 In
0.0000 0.0000 0.0000 In
0.4562 0.0004 0.7451 Pr
0.0438 0.5004 0.7451 Pr
0.9562 0.4996 0.2549 Pr
0.5438 0.9996 0.2549 Pr
0.8470 0.9997 0.4307 Sm
0.7497 0.7504 0.8944 Sm
0.7503 0.2504 0.8944 Sm
0.6530 0.4997 0.4307 Sm
0.2497 0.7496 0.1056 Sm
0.3470 0.5003 0.5693 Sm
0.1530 0.0003 0.5693 Sm
0.2503 0.2496 0.1056 Sm



It is A that is most stable; the runner-up trails by 1.2 kJ/mol of atoms.



A:
PrSm2In PBE optimized geometry; density of states at the Fermi level = 3.67 states/eV per cell
1.0
-3.4723 1.0633 -0.4850
-0.9094 -1.5033 3.2150
1.8917 8.1619 4.3517
Sm In Pr
2 1 1
direct
0.0000 0.0000 0.7783 Sm
0.0000 0.0000 0.2217 Sm
0.5000 0.5000 0.0000 In
0.5000 0.5000 0.5000 Pr



B:
PrSm2In PBE optimized geometry; density of states at the Fermi level = 6.89 states/eV per cell
1.0
-4.9290 0.1006 -0.0830
-0.1264 -4.5804 1.9562
-0.0372 1.9577 4.5814
Sm Pr In
2 1 1
direct
0.0000 0.5000 0.0000 Sm
0.0000 0.0000 0.5000 Sm
0.5000 0.0000 0.0000 Pr
0.5000 0.5000 0.5000 In



C:
PrSm2In PBE optimized geometry; density of states at the Fermi level = 6.10 states/eV per cell
1.0
5.5827 0.0000 0.0000
2.7913 4.8347 0.0000
2.7913 1.6116 4.5582
Pr Sm In
1 2 1
direct
0.0000 0.0000 0.0000 Pr
0.2500 0.2500 0.2500 Sm
0.7500 0.7500 0.7500 Sm
0.5000 0.5000 0.5000 In



D:
PrSm2In PBE optimized geometry; density of states at the Fermi level = 5.23 states/eV per cell
1.0
-2.3535 -1.0230 -2.6974
0.2596 -3.3938 -1.5088
-7.6563 -5.3589 6.1431
Sm In Pr
2 1 1
direct
0.0756 0.0756 0.7733 Sm
0.2581 0.2581 0.2257 Sm
0.6666 0.6666 0.0003 In
0.4998 0.4998 0.5007 Pr



It is B that is most stable; the runner-up trails by 3.7 kJ/mol of atoms.